Entry 1:
The following is a GGA-PBE calculation of a relaxed TaGaAu3 crystal, from Alexandria via LeMat-Bulk.

The energy of formation comes out at 0.811 eV per atom. Its excess energy over the best structure of this formula in the dataset is 0 meV per atom.

The space group is Pm-3m (No. 221) and the conventional cell measures 5.1844, 5.1844 and 5.1844 Å, with angles of 90.00, 90.00 and 90.00 degrees. Symmetry generates all atoms from Ta at (0.0000, 0.0000, 0.0000), Ga at (0.5000, 0.5000, 0.5000) and Au at (0.0000, 0.0000, 0.5000).

Entry 2:
The following is a GGA-PBE calculation of a relaxed Tl2SbPb crystal, from Alexandria via LeMat-Bulk.

Its excess energy over the best structure of this formula in the dataset is 39 meV per atom.

The space group is Cmmm (No. 65) and the conventional cell measures 6.8753, 10.5286 and 3.3935 Å, with angles of 90.00, 90.00 and 90.00 degrees. Symmetry generates all atoms from Tl at (0.2500, 0.2500, 0.0000), Sb at (0.0000, 0.0000, 0.5000) and Pb at (0.0000, 0.5000, 0.5000).

Entry 3:
The following is a GGA-PBE calculation of a relaxed TlTePd2 crystal, from Alexandria via LeMat-Bulk.

Its excess energy over the best structure of this formula in the dataset is 0 meV per atom.

The space group is P2_1/c (No. 14) and the conventional cell measures 8.5229, 7.2050 and 5.7415 Å, with angles of 90.00, 90.01 and 90.00 degrees. Symmetry generates all atoms from Tl at (0.1186, 0.0975, 0.2505), Te at (0.3706, 0.5744, 0.2496), Pd at (0.1405, 0.7504, 0.9999) and Pd at (0.3828, 0.2495, 0.0002).

Entry 4:
The following is a GGA-PBE calculation of a relaxed Pm2Nd3TmTe6 crystal, from Alexandria via LeMat-Bulk.

For the energy, the calculation gives -127.349 eV/cell.

The space group is C2/m (No. 12) and the conventional cell measures 19.4558, 4.4194 and 8.9756 Å, with angles of 90.00, 103.23 and 90.00 degrees. Symmetry generates all atoms from Pm at (0.1706, 0.0000, 0.3367), Nd at (0.0000, 0.5000, 0.5000), Nd at (0.1730, 0.0000, 0.8347), Tm at (0.0000, 0.5000, 0.0000), Te at (0.0007, 0.0000, 0.7621), Te at (0.1594, 0.5000, 0.0809) and Te at (0.1652, 0.5000, 0.5810).

Entry 5:
The following is a GGA-PBE calculation of a relaxed IrAu3S crystal, from Alexandria via LeMat-Bulk.

Its excess energy over the best structure of this formula in the dataset is 0 meV per atom.

The space group is Pm-3m (No. 221) and the conventional cell measures 4.6177, 4.6177 and 4.6177 Å, with angles of 90.00, 90.00 and 90.00 degrees. Symmetry generates all atoms from Ir at (0.0000, 0.0000, 0.0000), Au at (0.0000, 0.5000, 0.5000) and S at (0.5000, 0.5000, 0.5000).

Entry 6:
The following is a GGA-PBE calculation of a relaxed GaTc2IN crystal, from Alexandria via LeMat-Bulk.

For the energy, the calculation gives -29.692 eV/cell.

The space group is P4/mmm (No. 123) and the conventional cell measures 3.9965, 3.9965 and 6.6361 Å, with angles of 90.00, 90.00 and 90.00 degrees. Symmetry generates all atoms from Ga at (0.0000, 0.0000, 0.0000), Tc at (0.0000, 0.5000, 0.5000), I at (0.5000, 0.5000, 0.0000) and N at (0.5000, 0.5000, 0.5000).

Entry 7:
The following is a GGA-PBE calculation of a relaxed ErPt5 crystal, from Alexandria via LeMat-Bulk.

The energy of formation comes out at -0.667 eV per atom.

The space group is P6/mmm (No. 191) and the conventional cell measures 5.3450, 5.3450 and 4.4518 Å, with angles of 90.00, 90.00 and 120.00 degrees. Symmetry generates all atoms from Er at (0.0000, 0.0000, 0.0000), Pt at (0.0000, 0.5000, 0.5000) and Pt at (0.3333, 0.6667, 0.0000).

Entry 8:
The following is a GGA-PBE calculation of a relaxed ZnHgS2 crystal, from Alexandria via LeMat-Bulk.

For the energy, the calculation gives -34.663 eV/cell.

The space group is R3m (No. 160, hexagonal axes) and the conventional cell measures 4.0258, 4.0258 and 19.9907 Å, with angles of 90.00, 90.00 and 120.00 degrees. Symmetry generates all atoms from Zn at (0.0000, 0.0000, 0.0000), Hg at (0.0000, 0.0000, 0.4962), S at (0.0000, 0.0000, 0.3683) and S at (0.0000, 0.0000, 0.8830).